Sr2CdCu2: optimized geometry, PBE.

Cell: 10.130 10.130 10.130 Å, 159.05 159.05 29.79°
Sites, in units of the cell vectors:
Sr (0.118, 0.118, 0.000)
Sr (0.882, 0.882, 0.000)
Cd (0.500, 0.500, 0.000)
Cu (0.250, 0.750, 0.500)
Cu (0.750, 0.250, 0.500)

Computed properties:
DOS(E_F)   0.68 states/eV/atom
Volume   132.77 Å³ per cell
DFT total energy   -2.495 eV per atom
Crystal system   tetragonal



SrCdCu: optimized geometry, PBE.

Cell: 5.206 5.206 5.206 Å, 60.00 60.00 60.00°
Sites, in units of the cell vectors:
Sr (0.000, 0.000, 0.000)
Cd (0.250, 0.250, 0.250)
Cu (0.750, 0.750, 0.750)

Computed properties:
DOS(E_F)   0.69 states/eV/atom
Volume   99.79 Å³ per cell
DFT total energy   -1.903 eV per atom
Crystal system   cubic



SrCd6Cu6: optimized geometry, PBE.

Cell: 7.194 7.194 7.194 Å, 137.06 97.90 97.49°
Sites, in units of the cell vectors:
Sr (0.000, 0.000, 0.000)
Cd (0.197, 0.697, 0.500)
Cd (0.341, 0.000, 0.341)
Cd (0.349, 0.349, 0.000)
Cd (0.651, 0.651, 0.000)
Cd (0.659, 0.000, 0.659)
Cd (0.803, 0.303, 0.500)
Cu (0.000, 0.000, 0.500)
Cu (0.000, 0.500, 0.000)
Cu (0.231, 0.500, 0.731)
Cu (0.500, 0.000, 0.000)
Cu (0.500, 0.500, 0.500)
Cu (0.769, 0.500, 0.269)

Computed properties:
DOS(E_F)   0.44 states/eV/atom
Volume   236.04 Å³ per cell
DFT total energy   -2.487 eV per atom
Crystal system   orthorhombic



Sr2Cd2Cu: optimized geometry, PBE.

Cell: 7.638 7.638 5.189 Å, 90.00 90.00 90.00°
Sites, in units of the cell vectors:
Sr (0.177, 0.323, 0.000)
Sr (0.323, 0.823, 0.000)
Sr (0.677, 0.177, 0.000)
Sr (0.823, 0.677, 0.000)
Cd (0.136, 0.636, 0.500)
Cd (0.364, 0.136, 0.500)
Cd (0.636, 0.864, 0.500)
Cd (0.864, 0.364, 0.500)
Cu (0.000, 0.000, 0.500)
Cu (0.500, 0.500, 0.500)

Computed properties:
DOS(E_F)   0.78 states/eV/atom
Volume   302.73 Å³ per cell
Excess energy over the best structure of this formula in the dataset   15.3 kJ/mol of atoms
Crystal system   tetragonal



Sr4CdCu: optimized geometry, PBE.

Cell: 7.269 7.269 7.269 Å, 60.00 60.00 60.00°
Sites, in units of the cell vectors:
Sr (0.125, 0.125, 0.125)
Sr (0.125, 0.125, 0.625)
Sr (0.125, 0.625, 0.125)
Sr (0.625, 0.125, 0.125)
Cd (0.750, 0.750, 0.750)
Cu (0.500, 0.500, 0.500)

Computed properties:
DOS(E_F)   1.50 states/eV/atom
Volume   271.64 Å³ per cell
Excess energy over the best structure of this formula in the dataset   68.9 kJ/mol of atoms
Crystal system   cubic



SrCdCu2: optimized geometry, PBE.

Cell: 4.258 4.424 9.781 Å, 90.00 98.20 90.00°
Sites, in units of the cell vectors:
Sr (0.167, 0.250, 0.256)
Sr (0.833, 0.750, 0.744)
Cd (0.386, 0.250, 0.910)
Cd (0.614, 0.750, 0.090)
Cu (0.258, 0.750, 0.501)
Cu (0.285, 0.250, 0.627)
Cu (0.715, 0.750, 0.373)
Cu (0.742, 0.250, 0.499)

Computed properties:
DOS(E_F)   0.41 states/eV/atom
Volume   182.34 Å³ per cell
DFT total energy   -2.807 eV per atom
Crystal system   monoclinic